Material: HoGaHg2
Method: DFT, PBE-GGA
State: relaxed

Output
mass density: 9.97 g/cm³
total moment: 0.0000 μB/atom
crystal system: trigonal
DFT formation energy: 124 meV per atom
VASP energy: -1.93 eV/atom

Cell and atoms, written as POSCAR:
```
HoGaHg2
1.0
-0.469 3.137 -1.141
-0.385 0.552 -3.303
-10.924 0.017 -0.446
Ga Ho Hg
1 1 2
Cartesian
-5.889 1.853 -2.445
0.000 0.000 0.000
-3.863 3.346 -4.152
-7.914 0.360 -0.739
```

Material: HoGaHg
Method: DFT, PBE-GGA
State: relaxed

Output
mass density: 10.86 g/cm³
total moment: 0.0000 μB/atom
crystal system: hexagonal
DFT formation energy: -483 meV per atom
VASP energy: -3.12 eV/atom

Cell and atoms, written as POSCAR:
```
HoGaHg
1.0
3.577 0.000 0.000
0.000 4.635 0.000
0.000 -2.317 4.014
Ho Hg Ga
1 1 1
Cartesian
2.384 2.317 1.338
0.595 0.000 0.000
0.599 0.000 2.676
```

Material: Ho5Ga4Hg
Method: DFT, PBE-GGA
State: relaxed

Output
mass density: 9.39 g/cm³
total moment: 0.0000 μB/atom
crystal system: tetragonal
DFT formation energy: -559 meV per atom
VASP energy: -4.09 eV/atom

Cell and atoms, written as POSCAR:
```
Ho5Ga4Hg
1.0
3.561 0.000 0.000
0.000 3.561 0.000
0.000 0.000 18.187
Hg Ho Ga
1 5 4
Cartesian
0.000 0.000 0.000
1.781 1.781 9.094
1.781 1.781 12.641
1.781 1.781 1.999
1.781 1.781 16.188
1.781 1.781 5.546
0.000 0.000 14.443
0.000 0.000 7.327
0.000 0.000 10.860
0.000 0.000 3.744
```